Density functional theory data (GGA-PBE) for an optimized crystal structure of Pr2Dy7Er3.

Values from the calculation:
* electronic total energy: -0.1656 hartree per atom
* relative energy among the computed polymorphs: 39.1 meV/atom
* E_form: 116.3 meV per atom

Cell and atoms, written as POSCAR:
```
Pr2Dy7Er3
1.0
2.844 -18.904 0.000
2.844 18.904 0.000
0.000 0.000 3.610
Pr Dy Er
2 7 3
Cartesian
2.844 13.334 0.000
2.844 -13.334 0.000
0.000 0.000 0.000
2.844 16.240 1.805
2.844 10.182 0.000
2.844 3.362 0.000
2.844 -3.362 0.000
2.844 -10.182 0.000
2.844 -16.240 1.805
2.844 7.045 1.805
2.844 0.000 1.805
2.844 -7.045 1.805
```